In5Ga3Hg3: relaxed, PBE-GGA.

Cell lengths 10.2532, 10.2532, 3.0976 Å; angles 90.00, 90.00, 120.00 degrees
Fractional positions:
In 0.0000 0.3112 0.0000
In 0.3112 0.0000 0.0000
In 0.3333 0.6667 0.0000
In 0.6667 0.3333 0.0000
In 0.6888 0.6888 0.0000
Ga 0.0000 0.8411 0.5000
Ga 0.1589 0.1589 0.5000
Ga 0.8411 0.0000 0.5000
Hg 0.0000 0.6005 0.0000
Hg 0.3995 0.3995 0.0000
Hg 0.6005 0.0000 0.0000

* space group: P-62m
* volume: 282.0 Å³/f.u.
* total magnetic moment: 0.00 μB/cell
* total DFT energy (no corrections): -2.0796 eV/atom



In8GaHg6: relaxed, PBE-GGA.

Cell lengths 7.5069, 7.5945, 7.6269 Å; angles 69.73, 87.02, 79.56 degrees
Fractional positions:
In 0.0086 0.2304 0.3451
In 0.1431 0.0754 0.8133
In 0.2843 0.8492 0.3280
In 0.3999 0.4203 0.8622
In 0.6001 0.5797 0.1378
In 0.7157 0.1508 0.6720
In 0.8569 0.9246 0.1867
In 0.9914 0.7696 0.6549
Ga 0.5000 0.0000 0.0000
Hg 0.1226 0.6270 0.0701
Hg 0.2507 0.4295 0.4979
Hg 0.4875 0.8262 0.6903
Hg 0.5125 0.1738 0.3097
Hg 0.7493 0.5705 0.5021
Hg 0.8774 0.3730 0.9299

* space group: P-1
* volume: 401.1 Å³/f.u.
* total magnetic moment: 0.00 μB/cell
* total DFT energy (no corrections): -1.7551 eV/atom
* E above lowest polymorph: 0.000 eV/f.u.



In2Ga5Hg: relaxed, PBE-GGA.

Cell lengths 4.1896, 6.4108, 7.6180 Å; angles 66.13, 78.98, 75.12 degrees
Fractional positions:
In 0.2476 0.1853 0.3327
In 0.7524 0.8147 0.6673
Ga 0.0436 0.1715 0.7289
Ga 0.1958 0.6530 0.9887
Ga 0.5000 0.0000 0.0000
Ga 0.8042 0.3471 0.0113
Ga 0.9564 0.8285 0.2711
Hg 0.5000 0.5000 0.5000

* space group: P-1
* volume: 180.0 Å³/f.u.
* total magnetic moment: 0.00 μB/cell
* total DFT energy (no corrections): -2.5657 eV/atom



InGa2Hg8: relaxed, PBE-GGA.

Cell lengths 9.6385, 9.6385, 5.7776 Å; angles 94.03, 94.03, 145.21 degrees
Fractional positions:
In 0.0000 0.0000 0.0000
Ga 0.2584 0.7416 0.5000
Ga 0.7416 0.2584 0.5000
Hg 0.0487 0.2971 0.3149
Hg 0.2971 0.0487 0.3149
Hg 0.2984 0.7016 0.0000
Hg 0.3774 0.3774 0.7148
Hg 0.6226 0.6226 0.2852
Hg 0.7016 0.2984 0.0000
Hg 0.7029 0.9513 0.6851
Hg 0.9513 0.7029 0.6851

* space group: C2/m
* volume: 297.7 Å³/f.u.
* total magnetic moment: 0.00 μB/cell
* total DFT energy (no corrections): -0.9701 eV/atom



In5Ga12Hg3: relaxed, PBE-GGA.

Cell lengths 13.9266, 13.9266, 13.9266 Å; angles 109.47, 109.47, 109.47 degrees
Fractional positions:
In 0.0000 0.0000 0.0000
In 0.0000 0.0000 0.5000
In 0.0000 0.5000 0.0000
In 0.0000 0.5000 0.5000
In 0.1250 0.7500 0.8750
In 0.1250 0.8750 0.2500
In 0.2500 0.1250 0.8750
In 0.2500 0.6250 0.3750
In 0.3750 0.2500 0.6250
In 0.3750 0.6250 0.7500
In 0.5000 0.0000 0.0000
In 0.5000 0.0000 0.5000
In 0.5000 0.5000 0.0000
In 0.5000 0.5000 0.5000
In 0.6250 0.3750 0.2500
In 0.6250 0.7500 0.3750
In 0.7500 0.3750 0.6250
In 0.7500 0.8750 0.1250
In 0.8750 0.1250 0.7500
In 0.8750 0.2500 0.1250
Ga 0.0706 0.2351 0.1416
Ga 0.0706 0.3355 0.9291
Ga 0.0709 0.6416 0.4064
Ga 0.0709 0.9294 0.6645
Ga 0.0936 0.7351 0.6645
Ga 0.0936 0.8584 0.4291
Ga 0.1416 0.0706 0.2351
Ga 0.1416 0.5709 0.9064
Ga 0.1645 0.2351 0.5936
Ga 0.1645 0.4294 0.5709
Ga 0.2351 0.1416 0.0706
Ga 0.2351 0.5936 0.1645
Ga 0.2649 0.3355 0.9064
Ga 0.2649 0.4294 0.3584
Ga 0.3355 0.9064 0.2649
Ga 0.3355 0.9291 0.0706
Ga 0.3584 0.2649 0.4294
Ga 0.3584 0.5936 0.9291
Ga 0.4064 0.0709 0.6416
Ga 0.4064 0.8355 0.7649
Ga 0.4291 0.0936 0.8584
Ga 0.4294 0.3584 0.2649
Ga 0.4294 0.5709 0.1645
Ga 0.4291 0.8355 0.5706
Ga 0.5709 0.1645 0.4294
Ga 0.5706 0.4291 0.8355
Ga 0.5706 0.6416 0.7351
Ga 0.5709 0.9064 0.1416
Ga 0.5936 0.1645 0.2351
Ga 0.5936 0.9291 0.3584
Ga 0.6416 0.4064 0.0709
Ga 0.6416 0.7351 0.5706
Ga 0.6645 0.0709 0.9294
Ga 0.6645 0.0936 0.7351
Ga 0.7351 0.5706 0.6416
Ga 0.7351 0.6645 0.0936
Ga 0.7649 0.4064 0.8355
Ga 0.7649 0.8584 0.9294
Ga 0.8355 0.5706 0.4291
Ga 0.8355 0.7649 0.4064
Ga 0.8584 0.4291 0.0936
Ga 0.8584 0.9294 0.7649
Ga 0.9064 0.1416 0.5709
Ga 0.9064 0.2649 0.3355
Ga 0.9291 0.0706 0.3355
Ga 0.9291 0.3584 0.5936
Ga 0.9294 0.6645 0.0709
Ga 0.9294 0.7649 0.8584
Hg 0.1250 0.2500 0.3750
Hg 0.1250 0.3750 0.7500
Hg 0.2500 0.3750 0.1250
Hg 0.2500 0.8750 0.6250
Hg 0.3750 0.1250 0.2500
Hg 0.3750 0.7500 0.1250
Hg 0.6250 0.2500 0.8750
Hg 0.6250 0.8750 0.7500
Hg 0.7500 0.1250 0.3750
Hg 0.7500 0.6250 0.8750
Hg 0.8750 0.6250 0.2500
Hg 0.8750 0.7500 0.6250

* space group: Ia-3d
* volume: 519.8 Å³/f.u.
* total magnetic moment: 0.00 μB/cell
* total DFT energy (no corrections): -2.3754 eV/atom



InGa2Hg7: relaxed, PBE-GGA.

Cell lengths 5.0448, 6.1818, 9.0313 Å; angles 84.70, 88.42, 68.35 degrees
Fractional positions:
In 0.0000 0.0000 0.0000
Ga 0.2309 0.7534 0.7406
Ga 0.7691 0.2466 0.2594
Hg 0.1672 0.1694 0.5143
Hg 0.1895 0.4592 0.1531
Hg 0.4604 0.1726 0.8145
Hg 0.5000 0.5000 0.5000
Hg 0.5396 0.8274 0.1855
Hg 0.8105 0.5408 0.8469
Hg 0.8328 0.8306 0.4857

* space group: P-1
* volume: 260.7 Å³/f.u.
* total magnetic moment: 0.00 μB/cell
* total DFT energy (no corrections): -1.0400 eV/atom



In7GaHg4: relaxed, PBE-GGA.

Cell lengths 3.8814, 3.8814, 24.7815 Å; angles 90.00, 90.00, 120.00 degrees
Fractional positions:
In 0.0000 0.0000 0.0000
In 0.0000 0.0000 0.2575
In 0.0000 0.0000 0.7425
In 0.3333 0.6667 0.1669
In 0.3333 0.6667 0.4238
In 0.6667 0.3333 0.5762
In 0.6667 0.3333 0.8331
Ga 0.0000 0.0000 0.5000
Hg 0.3333 0.6667 0.6597
Hg 0.3333 0.6667 0.9166
Hg 0.6667 0.3333 0.0834
Hg 0.6667 0.3333 0.3403

* space group: P-3m1
* volume: 323.3 Å³/f.u.
* total magnetic moment: 0.00 μB/cell
* total DFT energy (no corrections): -1.9211 eV/atom



In17Ga11Hg: relaxed, PBE-GGA.

Cell lengths 9.2775, 9.2775, 9.2801 Å; angles 104.48, 104.48, 104.52 degrees
Fractional positions:
In 0.0000 0.0000 0.0000
In 0.0021 0.6395 0.7772
In 0.0086 0.6404 0.3907
In 0.2826 0.2826 0.9990
In 0.2974 0.2974 0.6539
In 0.3051 0.6552 0.6734
In 0.3513 0.6273 0.0066
In 0.3734 0.6270 0.3564
In 0.3924 0.9865 0.0155
In 0.6273 0.3513 0.0066
In 0.6270 0.3734 0.3564
In 0.6395 0.0021 0.7772
In 0.6404 0.0086 0.3907
In 0.6408 0.6408 0.7090
In 0.6552 0.3051 0.6734
In 0.9865 0.3924 0.0155
In 0.9943 0.9943 0.3651
Ga 0.1438 0.3291 0.3163
Ga 0.1741 0.9627 0.7060
Ga 0.1797 0.8053 0.1786
Ga 0.3291 0.1438 0.3163
Ga 0.3495 0.9546 0.5100
Ga 0.6645 0.8533 0.0396
Ga 0.8053 0.1797 0.1786
Ga 0.8501 0.8501 0.6037
Ga 0.8533 0.6645 0.0396
Ga 0.9546 0.3495 0.5100
Ga 0.9627 0.1741 0.7060
Hg 0.6729 0.6729 0.2707

* space group: Cm
* volume: 705.8 Å³/f.u.
* total magnetic moment: 0.00 μB/cell
* total DFT energy (no corrections): -2.7277 eV/atom



Calculated values (eV/atom) of formation energy for the records, taken in order: 0.07, 0.03, 0.05, 0.05, 0.17, 0.05, 0.03, 0.04.